The following is a PBE calculation of Er3ZnNi after structural relaxation, from Alexandria via LeMat-Bulk.

abc: 5.5313 5.5313 9.1284
angles: 65.88 65.88 69.25
Fractional coordinates of all 10 atoms:
Zn 0.6949 0.3051 0.5000
Zn 0.3051 0.6949 0.5000
Er 0.9194 0.9194 0.2903
Er 0.2898 0.2898 0.2919
Er 0.0806 0.0806 0.7097
Er 0.7103 0.7103 0.7081
Er 0.3001 0.3001 0.9007
Er 0.6999 0.6999 0.0993
Ni 0.2507 0.7493 0.0000
Ni 0.7493 0.2507 0.0000

* space-group type: C2/m, No. 12
* magnetic moment: 0.0 μB/f.u.
* energy of formation: -287 meV/atom